First-principles (PBE with a Hubbard U) data for crystalline Pt3WO at its relaxed geometry, as listed in Alexandria via LeMat-Bulk.

Cell and atoms, written as extended XYZ:
```
5
Lattice="4.880 0.000 0.000 0.000 4.880 0.000 0.000 0.000 4.880" Properties=species:S:1:pos:R:3 pbc="T T T"
Pt 0.000 2.440 0.000
Pt 2.440 0.000 0.000
Pt 0.000 0.000 2.440
W 0.000 0.000 0.000
O 2.440 2.440 2.440
```

Summary:
Fermi-level density of states = 7.2 states/eV/f.u.
Space-group type = Pm-3m, No. 221
Energy above the lowest structure with this stoichiometry = 6.183 eV per formula unit
Total energy = -4.1140 eV per atom